# 1
Material: AcPr6Dy8
Method: DFT, PBE
State: optimized geometry

Values from the calculation:
Formation energy, eV per atom: 0.164
Energy relative to the lowest polymorph listed for this composition, eV per formula unit: 0.00
Space-group type: No. 148
Spin magnetization, μB per cell: 0.00
Uncorrected energy, eV/atom: -4.476
Crystal system: trigonal

Lattice parameters (Å, degrees): 9.403 9.403 8.698 57.28 57.28 60.00
Atoms (fractional coordinates):
Pr 0.106 0.268 0.076
Pr 0.894 0.732 0.924
Pr 0.268 0.550 0.076
Pr 0.450 0.894 0.924
Pr 0.550 0.106 0.076
Pr 0.732 0.450 0.924
Dy 0.226 0.916 0.504
Dy 0.084 0.646 0.496
Dy 0.430 0.430 0.710
Dy 0.354 0.226 0.504
Dy 0.916 0.354 0.504
Dy 0.570 0.570 0.290
Dy 0.646 0.774 0.496
Dy 0.774 0.084 0.496
Ac 0.000 0.000 0.000



# 2
Material: YCdCo
Method: DFT, PBE
State: optimized geometry

Values from the calculation:
Formation energy, eV per atom: 0.174
Space-group type: No. 156
Spin magnetization, μB per cell: 0.00
Uncorrected energy, eV/atom: -4.654
Crystal system: trigonal

Lattice parameters (Å, degrees): 3.709 3.709 5.608 90.00 90.00 120.00
Atoms (fractional coordinates):
Y 0.333 0.667 0.610
Cd 0.000 0.000 0.064
Co 0.667 0.333 0.326



# 3
Material: Cr2CoPb
Method: DFT, PBE
State: optimized geometry

Values from the calculation:
Formation energy, eV per atom: 0.593
Space-group type: No. 123
Spin magnetization, μB per cell: 7.08
Uncorrected energy, eV/atom: -6.922
Crystal system: tetragonal

Lattice parameters (Å, degrees): 3.059 3.059 6.975 90.00 90.00 89.98
Last column: magnetic moment on the atom in μB.
Atoms (fractional coordinates):
Cr 0.000 0.000 0.554  2.89
Cr 0.000 0.000 0.946  2.89
Co 0.500 0.500 0.750  0.91
Pb 0.500 0.500 0.250  -0.06



# 4
Material: Tl2CrH
Method: DFT, PBE
State: optimized geometry

Values from the calculation:
Energy relative to the lowest polymorph listed for this composition, eV per formula unit: 0.00
Space-group type: No. 225
Spin magnetization, μB per cell: 4.56
Uncorrected energy, eV/atom: -3.637
Crystal system: cubic

Lattice parameters (Å, degrees): 4.854 4.854 4.854 60.00 60.00 60.00
Last column: magnetic moment on the atom in μB.
Atoms (fractional coordinates):
Tl 0.750 0.750 0.750  0.01
Tl 0.250 0.250 0.250  0.01
H 0.000 0.000 0.000  0.10
Cr 0.500 0.500 0.500  3.90



# 5
Material: RbMg2Ge2
Method: DFT, PBE
State: optimized geometry

Values from the calculation:
Formation energy, eV per atom: -0.056
Energy relative to the lowest polymorph listed for this composition, eV per formula unit: 0.53
Space-group type: No. 127
Spin magnetization, μB per cell: 0.00
Uncorrected energy, eV/atom: -2.735
Crystal system: tetragonal

Lattice parameters (Å, degrees): 8.796 8.796 3.020 90.00 90.00 90.00
Atoms (fractional coordinates):
Rb 0.500 0.500 0.000
Rb 0.000 0.000 0.000
Mg 0.629 0.129 0.000
Mg 0.129 0.371 0.000
Mg 0.371 0.871 0.000
Mg 0.871 0.629 0.000
Ge 0.343 0.157 0.500
Ge 0.843 0.343 0.500
Ge 0.657 0.843 0.500
Ge 0.157 0.657 0.500



# 6
Material: NiMoCl
Method: DFT, PBE
State: optimized geometry

Values from the calculation:
Energy relative to the lowest polymorph listed for this composition, eV per formula unit: 1.54
Space-group type: No. 216
Spin magnetization, μB per cell: 0.59
Uncorrected energy, eV/atom: -5.463
Energy relative to the elements, uncorrected, kJ/mol of formula units: 200
Crystal system: cubic

Lattice parameters (Å, degrees): 4.109 4.109 4.109 60.00 60.00 60.00
Last column: magnetic moment on the atom in μB.
Atoms (fractional coordinates):
Ni 0.000 0.000 0.000  0.07
Cl 0.500 0.500 0.500  0.01
Mo 0.750 0.750 0.750  0.46



# 7
Material: Tb2Sm5Er3
Method: DFT, PBE
State: optimized geometry

Values from the calculation:
Formation energy, eV per atom: 0.389
Energy relative to the lowest polymorph listed for this composition, eV per formula unit: 1.94
Space-group type: No. 72
Spin magnetization, μB per cell: 0.00
Uncorrected energy, eV/atom: -4.265
Crystal system: orthorhombic

Lattice parameters (Å, degrees): 6.808 12.343 12.343 44.56 73.99 73.99
Atoms (fractional coordinates):
Tb 0.877 0.216 0.030
Tb 0.623 0.970 0.784
Tb 0.377 0.030 0.216
Tb 0.123 0.784 0.970
Er 0.379 0.369 0.873
Er 0.621 0.631 0.127
Er 0.121 0.127 0.631
Er 0.879 0.873 0.369
Er 0.250 0.000 0.000
Er 0.750 0.000 0.000
Sm 0.499 0.751 0.751
Sm 0.375 0.723 0.528
Sm 0.999 0.751 0.751
Sm 0.875 0.528 0.723
Sm 0.001 0.249 0.249
Sm 0.125 0.472 0.277
Sm 0.250 0.500 0.500
Sm 0.625 0.277 0.472
Sm 0.750 0.500 0.500
Sm 0.501 0.249 0.249



# 8
Material: SmBi2SO4
Method: DFT, PBE
State: optimized geometry

Values from the calculation:
Space-group type: No. 123
Spin magnetization, μB per cell: 0.70
Uncorrected energy, eV/atom: -6.239
Energy relative to the elements, uncorrected, kJ/mol of formula units: -1300
Crystal system: tetragonal

Lattice parameters (Å, degrees): 3.893 3.893 9.096 90.00 90.00 90.00
Last column: magnetic moment on the atom in μB.
Atoms (fractional coordinates):
S 0.000 0.000 0.500  0.34
O 0.000 0.500 0.159  0.02
O 0.500 0.000 0.841  0.02
O 0.000 0.500 0.841  0.02
O 0.500 0.000 0.159  0.02
Bi 0.500 0.500 0.715  0.01
Bi 0.500 0.500 0.285  0.01
Sm 0.000 0.000 0.000  0.00



# 9
Material: KSbN2O
Method: DFT, PBE
State: optimized geometry

Values from the calculation:
Space-group type: No. 123
Spin magnetization, μB per cell: 2.04
Uncorrected energy, eV/atom: -5.028
Energy relative to the elements, uncorrected, kJ/mol of formula units: 163
Crystal system: tetragonal

Lattice parameters (Å, degrees): 4.178 4.178 4.155 90.00 90.00 90.00
Last column: magnetic moment on the atom in μB.
Atoms (fractional coordinates):
N 0.500 0.000 0.000  0.65
N 0.000 0.500 0.000  0.65
Sb 0.000 0.000 0.000  -0.05
K 0.500 0.500 0.500  0.00
O 0.000 0.000 0.500  0.17



# 10
Material: LiY2ZnC
Method: DFT, PBE
State: optimized geometry

Values from the calculation:
Formation energy, eV per atom: -0.104
Space-group type: No. 123
Spin magnetization, μB per cell: 0.00
Uncorrected energy, eV/atom: -5.172
Crystal system: tetragonal

Lattice parameters (Å, degrees): 4.915 4.915 4.133 90.00 90.00 90.00
Atoms (fractional coordinates):
Y 0.500 0.000 0.000
Y 0.000 0.500 0.000
Zn 0.500 0.500 0.500
Li 0.000 0.000 0.500
C 0.000 0.000 0.000



# 11
Material: Li2RhAu
Method: DFT, PBE
State: optimized geometry

Values from the calculation:
Formation energy, eV per atom: -0.289
Space-group type: No. 71
Spin magnetization, μB per cell: 0.00
Uncorrected energy, eV/atom: -3.903
Crystal system: orthorhombic

Lattice parameters (Å, degrees): 4.924 4.924 4.924 142.29 126.18 67.57
Atoms (fractional coordinates):
Au 0.250 0.750 0.500
Rh 0.750 0.250 0.500
Li 0.503 0.503 0.000
Li 0.997 0.997 0.000



# 12
Material: NaPuSn2Br8
Method: DFT, PBE
State: optimized geometry

Values from the calculation:
Space-group type: No. 2
Spin magnetization, μB per cell: 5.00
Uncorrected energy, eV/atom: -4.216
Energy relative to the elements, uncorrected, kJ/mol of formula units: -1308
Crystal system: triclinic

Lattice parameters (Å, degrees): 7.173 6.798 8.836 89.62 89.55 88.74
Last column: magnetic moment on the atom in μB.
Atoms (fractional coordinates):
Br 0.846 0.236 0.244  -0.02
Br 0.674 0.758 0.996  -0.03
Br 0.154 0.764 0.756  -0.02
Br 0.158 0.766 0.244  -0.02
Br 0.842 0.234 0.756  -0.02
Br 0.346 0.269 0.501  0.00
Br 0.654 0.731 0.499  0.00
Br 0.326 0.242 0.004  -0.03
Sn 0.499 0.500 0.742  0.00
Sn 0.501 0.500 0.258  0.00
Pu 0.000 0.000 0.000  5.08
Na 0.000 0.000 0.500  0.00